1.
## CaLa2P3Rh12 (PBE)

Data for CaLa2P3Rh12 after structural relaxation.

POSCAR file:
```
CaLa2P3Rh12
1.0
-5.480 2.829 2.804
-1.414 -4.979 4.371
3.072 2.685 5.408
La P Rh Ca
2 3 12 1
Direct
0.380 0.380 0.380
0.620 0.620 0.620
0.000 0.500 0.000
0.000 0.000 0.500
0.500 0.000 0.000
0.656 0.178 0.178
0.357 0.357 0.913
0.913 0.357 0.357
0.344 0.822 0.822
0.643 0.643 0.087
0.822 0.344 0.822
0.178 0.178 0.656
0.822 0.822 0.344
0.357 0.913 0.357
0.087 0.643 0.643
0.178 0.656 0.178
0.643 0.087 0.643
0.000 0.000 0.000
```

* E: -0.498 Ry per atom

2.
## Cs2CuCl6O (PBE)

Data for Cs2CuCl6O after structural relaxation.

POSCAR file:
```
Cs2CuCl6O
1.0
-5.011 -4.478 1.120
3.196 -2.174 5.610
-3.691 0.563 6.458
Cl Cs O Cu
6 2 1 1
Direct
0.191 0.191 0.618
0.270 0.270 0.000
0.730 0.270 0.000
0.270 0.730 0.000
0.809 0.809 0.382
0.730 0.730 0.000
0.250 0.750 0.500
0.750 0.250 0.500
0.500 0.500 0.000
0.000 0.000 0.000
```

* raw formation energy: -0.75 eV/atom

no.,volume (Å³ per cell),size of the total moment (μB per atom)
1,303.7,0.000
2,264.3,0.004